Entry 1:
Computed, not measured: crystalline Ag6Pd3Au at its relaxed geometry at the PBE level of DFT.

Properties
- Energy of formation: 0.107 eV per atom
- Excess energy over the best structure of this formula in the dataset: 22 meV per atom
- SG: No. 11

Unit cell a=4.2116 b=11.6835 c=11.7039 alpha=138.84 beta=90.00 gamma=90.00
Atoms (fractional coordinates):
Ag 0.2500 0.2526 0.4170
Ag 0.7500 0.7474 0.5830
Ag 0.2500 0.8801 0.0671
Ag 0.7500 0.1199 0.9329
Ag 0.2500 0.9790 0.6700
Ag 0.7500 0.0210 0.3300
Ag 0.2500 0.7746 0.2310
Ag 0.7500 0.2254 0.7690
Ag 0.2500 0.4550 0.8670
Ag 0.7500 0.5450 0.1330
Ag 0.2500 0.2949 0.2143
Ag 0.7500 0.7051 0.7857
Pd 0.2500 0.1203 0.5462
Pd 0.7500 0.8797 0.4538
Pd 0.2500 0.6318 0.3518
Pd 0.7500 0.3682 0.6482
Pd 0.2500 0.9189 0.8623
Pd 0.7500 0.0811 0.1377
Au 0.2500 0.3223 0.0001
Au 0.7500 0.6777 0.9999

---

Entry 2:
Computed, not measured: crystalline AgPdAu3 at its relaxed geometry at the PBE level of DFT.

Properties
- Energy of formation: 0.070 eV per atom
- Excess energy over the best structure of this formula in the dataset: 49 meV per atom
- SG: No. 59

Unit cell a=4.1951 b=6.8185 c=6.5675 alpha=90.00 beta=90.00 gamma=90.00
Atoms (fractional coordinates):
Ag 0.5000 0.0000 0.2624
Ag 0.0000 0.5000 0.7376
Pd 0.0000 0.0000 0.5478
Pd 0.5000 0.5000 0.4522
Au 0.0000 0.7063 0.2619
Au 0.5000 0.7937 0.7381
Au 0.5000 0.2063 0.7381
Au 0.0000 0.2937 0.2619
Au 0.0000 0.0000 0.9647
Au 0.5000 0.5000 0.0353

---

Entry 3:
Computed, not measured: crystalline AgPdAu5 at its relaxed geometry at the PBE level of DFT.

Properties
- Energy of formation: 0.548 eV per atom
- Excess energy over the best structure of this formula in the dataset: 495 meV per atom
- SG: No. 44

Unit cell a=7.3414 b=5.3844 c=6.5932 alpha=114.10 beta=123.83 gamma=90.00
Atoms (fractional coordinates):
Ag 0.4906 0.5000 0.0000
Pd 0.8040 0.0000 0.0000
Au 0.2482 0.2265 0.4529
Au 0.8450 0.5000 0.0000
Au 0.7953 0.7735 0.5471
Au 0.1738 0.2503 0.0000
Au 0.1738 0.7497 0.0000

---

Entry 4:
Computed, not measured: crystalline Ag2Pd3Au2 at its relaxed geometry at the PBE level of DFT.

Properties
- Energy of formation: 0.051 eV per atom
- Excess energy over the best structure of this formula in the dataset: 0 meV per atom
- SG: No. 2

Unit cell a=4.8009 b=6.9607 c=4.7673 alpha=63.96 beta=105.81 gamma=115.74
Atoms (fractional coordinates):
Ag 0.6224 0.2444 0.8805
Ag 0.3776 0.7556 0.1195
Pd 0.0000 0.0000 0.0000
Pd 0.7540 0.5056 0.2482
Pd 0.2460 0.4944 0.7518
Au 0.8763 0.7584 0.6206
Au 0.1237 0.2416 0.3794

---

Entry 5:
Computed, not measured: crystalline Ag6PdAu3 at its relaxed geometry at the PBE level of DFT.

Properties
- Energy of formation: 0.049 eV per atom
- Excess energy over the best structure of this formula in the dataset: 55 meV per atom
- SG: No. 36

Unit cell a=5.2136 b=9.0780 c=9.0780 alpha=120.84 beta=90.00 gamma=90.00
Atoms (fractional coordinates):
Ag 0.0312 0.7088 0.6194
Ag 0.5312 0.6194 0.7088
Ag 0.3498 0.5515 0.9647
Ag 0.8498 0.9647 0.5515
Ag 0.4267 0.9416 0.0584
Ag 0.6504 0.2990 0.7010
Ag 0.1504 0.7010 0.2990
Ag 0.9267 0.0584 0.9416
Ag 0.3498 0.0353 0.4485
Ag 0.8498 0.4485 0.0353
Ag 0.0312 0.3806 0.2912
Ag 0.5312 0.2912 0.3806
Pd 0.1622 0.2188 0.7812
Pd 0.6622 0.7812 0.2188
Au 0.4415 0.9410 0.7351
Au 0.9415 0.7351 0.9410
Au 0.1010 0.3917 0.6083
Au 0.6010 0.6083 0.3917
Au 0.9415 0.0590 0.2649
Au 0.4415 0.2649 0.0590

---

Entry 6:
Computed, not measured: crystalline Ag5Pd5Au at its relaxed geometry at the PBE level of DFT.

Properties
- Energy of formation: 0.240 eV per atom
- Excess energy over the best structure of this formula in the dataset: 174 meV per atom
- SG: No. 187

Unit cell a=5.0299 b=5.0299 c=9.4925 alpha=90.00 beta=90.00 gamma=120.00
Atoms (fractional coordinates):
Ag 0.6667 0.3333 0.2072
Ag 0.6667 0.3333 0.7928
Ag 0.3333 0.6667 0.3199
Ag 0.3333 0.6667 0.6801
Ag 0.0000 0.0000 0.0000
Pd 0.3372 0.1686 0.5000
Pd 0.0000 0.0000 0.2664
Pd 0.8314 0.6628 0.5000
Pd 0.8314 0.1686 0.5000
Pd 0.0000 0.0000 0.7336
Au 0.3333 0.6667 0.0000

---

> Which formula does entry 1 have?

Ag6Pd3Au